1.
Crystalline ScMo2Pt at its relaxed geometry, computed with PBE.

Unit cell a=8.803 b=8.803 c=8.803 alpha=19.91 beta=19.91 gamma=19.91
Fractional positions:
Sc 0.000 0.000 0.000
Mo 0.245 0.245 0.245
Mo 0.506 0.506 0.506
Pt 0.752 0.752 0.752

Values from the calculation:
The size of the total moment is 0.000 μB per formula unit. As for the symmetry: R3m (160). The energy of formation from the pure elements is -0.05 eV/f.u.


2.
Crystalline LaSm2Sn3 at its relaxed geometry, computed with PBE.

Unit cell a=7.005 b=7.005 c=7.005 alpha=135.61 beta=125.58 gamma=72.75
Fractional positions:
La 0.000 0.000 0.000
Sm 0.337 0.337 0.000
Sm 0.663 0.663 0.000
Sn 0.183 0.683 0.500
Sn 0.500 0.000 0.500
Sn 0.817 0.317 0.500

Values from the calculation:
The size of the total moment is 0.000 μB per formula unit. As for the symmetry: Immm (71). The energy of formation from the pure elements is -3.60 eV/f.u.


3.
Crystalline YZr2ZnC at its relaxed geometry, computed with PBE.

Unit cell a=4.564 b=4.564 c=4.807 alpha=90.00 beta=90.00 gamma=90.00
Fractional positions:
Y 0.000 0.000 0.000
Zr 0.000 0.500 0.500
Zr 0.500 0.000 0.500
Zn 0.500 0.500 0.000
C 0.000 0.000 0.500

Values from the calculation:
The size of the total moment is 0.000 μB per formula unit. As for the symmetry: P4/mmm (123). The energy of formation from the pure elements is -1.60 eV/f.u.


4.
Crystalline RbGaH4 at its relaxed geometry, computed with PBE.

Unit cell a=7.237 b=7.237 c=4.857 alpha=99.80 beta=99.80 gamma=48.89
Fractional positions:
Rb 0.157 0.157 0.274
Rb 0.843 0.843 0.726
Ga 0.401 0.401 0.087
Ga 0.599 0.599 0.913
H 0.157 0.579 0.271
H 0.307 0.693 0.000
H 0.326 0.326 0.787
H 0.421 0.843 0.729
H 0.579 0.157 0.271
H 0.674 0.674 0.213
H 0.693 0.307 0.000
H 0.843 0.421 0.729

Values from the calculation:
The size of the total moment is 0.000 μB per formula unit. The total energy comes out at -2.935 eV/atom. As for the symmetry: C2/m (12).


5.
Crystalline RbNb2SbBr at its relaxed geometry, computed with PBE.

Unit cell a=5.350 b=5.350 c=7.399 alpha=90.00 beta=90.00 gamma=90.00
Fractional positions:
Rb 0.000 0.000 0.000
Nb 0.000 0.500 0.500
Nb 0.500 0.000 0.500
Sb 0.000 0.000 0.500
Br 0.500 0.500 0.000

Values from the calculation:
The size of the total moment is 6.738 μB per formula unit. The total energy comes out at -4.526 eV/atom. As for the symmetry: P4/mmm (123).


6.
Crystalline BaNaTl6In at its relaxed geometry, computed with PBE.

Unit cell a=11.142 b=11.142 c=11.142 alpha=144.81 beta=121.73 gamma=69.93
Fractional positions:
Ba 0.334 0.084 0.250
Ba 0.666 0.916 0.750
Na 0.000 0.500 0.500
Na 0.500 0.500 0.000
Tl 0.147 0.897 0.250
Tl 0.154 0.412 0.247
Tl 0.154 0.907 0.742
Tl 0.335 0.093 0.747
Tl 0.335 0.588 0.242
Tl 0.463 0.713 0.750
Tl 0.537 0.287 0.250
Tl 0.665 0.412 0.758
Tl 0.665 0.907 0.253
Tl 0.846 0.093 0.258
Tl 0.846 0.588 0.753
Tl 0.853 0.103 0.750
In 0.000 0.000 0.500
In 0.000 0.500 0.000

Values from the calculation:
The size of the total moment is 0.000 μB per formula unit. As for the symmetry: Imma (74). The energy of formation from the pure elements is -0.10 eV/f.u.